Crystalline Pr2DyAg2Sn2 at its relaxed geometry. Source: the Alexandria database, functional GGA-PBE.

As for the density of states at the Fermi level: 0.56 states/eV/atom. The formation energy comes out at -0.411 eV per atom.

Structure (CIF):
```
data_Pr2DyAg2Sn2
_chemical_formula_sum 'Pr2 Dy1 Ag2 Sn2'
_space_group_name_H-M_alt 'P 1'
_space_group_IT_number 1
_cell_length_a 4.825
_cell_length_b 4.825
_cell_length_c 9.812
_cell_angle_alpha 75.77
_cell_angle_beta 75.77
_cell_angle_gamma 60.00
loop_
_space_group_symop_operation_xyz
'x,y,z'
loop_
_atom_site_label
_atom_site_type_symbol
_atom_site_fract_x
_atom_site_fract_y
_atom_site_fract_z
_atom_site_occupancy
Ag1 Ag 0.610 0.610 0.169 1
Ag2 Ag 0.390 0.390 0.831 1
Sn1 Sn 0.734 0.734 0.797 1
Sn2 Sn 0.266 0.266 0.203 1
Pr1 Pr 0.127 0.127 0.620 1
Pr2 Pr 0.873 0.873 0.380 1
Dy1 Dy 0.000 0.000 0.000 1
```

***

Crystalline LaPr2Tl2Zn2 at its relaxed geometry. Source: the Alexandria database, functional GGA-PBE.

As for the density of states at the Fermi level: 0.62 states/eV/atom. The formation energy comes out at -0.220 eV per atom.

Structure (CIF):
```
data_LaPr2Tl2Zn2
_chemical_formula_sum 'La1 Pr2 Tl2 Zn2'
_space_group_name_H-M_alt 'P 1'
_space_group_IT_number 1
_cell_length_a 4.846
_cell_length_b 4.846
_cell_length_c 9.975
_cell_angle_alpha 75.94
_cell_angle_beta 75.94
_cell_angle_gamma 60.00
loop_
_space_group_symop_operation_xyz
'x,y,z'
loop_
_atom_site_label
_atom_site_type_symbol
_atom_site_fract_x
_atom_site_fract_y
_atom_site_fract_z
_atom_site_occupancy
Zn1 Zn 0.413 0.413 0.762 1
Zn2 Zn 0.587 0.587 0.238 1
Tl1 Tl 0.734 0.734 0.799 1
Tl2 Tl 0.266 0.266 0.201 1
Pr1 Pr 0.870 0.870 0.390 1
Pr2 Pr 0.130 0.130 0.610 1
La1 La 0.000 0.000 0.000 1
```

***

Crystalline BaCu2Pb2 at its relaxed geometry. Source: the Alexandria database, functional GGA-PBE.

As for the density of states at the Fermi level: 0.56 states/eV/atom. The formation energy comes out at 0.066 eV per atom.

Structure (CIF):
```
data_BaCu2Pb2
_chemical_formula_sum 'Ba2 Cu4 Pb4'
_space_group_name_H-M_alt 'P 1'
_space_group_IT_number 1
_cell_length_a 8.484
_cell_length_b 8.484
_cell_length_c 3.576
_cell_angle_alpha 90.00
_cell_angle_beta 90.00
_cell_angle_gamma 90.00
loop_
_space_group_symop_operation_xyz
'x,y,z'
loop_
_atom_site_label
_atom_site_type_symbol
_atom_site_fract_x
_atom_site_fract_y
_atom_site_fract_z
_atom_site_occupancy
Cu1 Cu 0.392 0.892 0.000 1
Cu2 Cu 0.892 0.608 0.000 1
Cu3 Cu 0.108 0.392 0.000 1
Cu4 Cu 0.608 0.108 0.000 1
Pb1 Pb 0.338 0.162 0.500 1
Pb2 Pb 0.838 0.338 0.500 1
Pb3 Pb 0.162 0.662 0.500 1
Pb4 Pb 0.662 0.838 0.500 1
Ba1 Ba 0.500 0.500 0.000 1
Ba2 Ba 0.000 0.000 0.000 1
```

***

Crystalline NiBPC at its relaxed geometry. Source: the Alexandria database, functional GGA-PBE.

As for the density of states at the Fermi level: 0.34 states/eV/atom. The energy relative to the lowest polymorph listed for this composition comes out at 88.3 meV per atom. The formation energy comes out at 0.154 eV per atom.

Structure (CIF):
```
data_NiBPC
_chemical_formula_sum 'Ni2 B2 P2 C2'
_space_group_name_H-M_alt 'P 1'
_space_group_IT_number 1
_cell_length_a 5.717
_cell_length_b 2.726
_cell_length_c 7.963
_cell_angle_alpha 90.00
_cell_angle_beta 134.12
_cell_angle_gamma 90.00
loop_
_space_group_symop_operation_xyz
'x,y,z'
loop_
_atom_site_label
_atom_site_type_symbol
_atom_site_fract_x
_atom_site_fract_y
_atom_site_fract_z
_atom_site_occupancy
B1 B 0.844 0.500 0.937 1
B2 B 0.844 0.000 0.437 1
Ni1 Ni 0.399 0.500 0.883 1
Ni2 Ni 0.399 0.000 0.383 1
P1 P 0.405 0.500 0.599 1
P2 P 0.405 0.000 0.099 1
C1 C 0.015 0.500 0.515 1
C2 C 0.015 0.000 0.015 1
```

***

Crystalline TaCr2Se at its relaxed geometry. Source: the Alexandria database, functional GGA-PBE.

As for the density of states at the Fermi level: 1.10 states/eV/atom. The formation energy from raw total energies is 0.2590 eV/atom.

Structure (CIF):
```
data_TaCr2Se
_chemical_formula_sum 'Ta1 Cr2 Se1'
_space_group_name_H-M_alt 'P 1'
_space_group_IT_number 1
_cell_length_a 4.750
_cell_length_b 4.750
_cell_length_c 4.338
_cell_angle_alpha 71.34
_cell_angle_beta 71.34
_cell_angle_gamma 38.80
loop_
_space_group_symop_operation_xyz
'x,y,z'
loop_
_atom_site_label
_atom_site_type_symbol
_atom_site_fract_x
_atom_site_fract_y
_atom_site_fract_z
_atom_site_occupancy
Se1 Se 0.750 0.750 0.750 1
Cr1 Cr 0.012 0.012 0.950 1
Cr2 Cr 0.488 0.488 0.550 1
Ta1 Ta 0.250 0.250 0.250 1
```

***

Crystalline NpFeSiTc at its relaxed geometry. Source: the Alexandria database, functional GGA-PBE.

As for the density of states at the Fermi level: 1.06 states/eV/atom. The formation energy from raw total energies is -0.1028 eV/atom.

Structure (CIF):
```
data_NpFeSiTc
_chemical_formula_sum 'Np1 Fe1 Si1 Tc1'
_space_group_name_H-M_alt 'P 1'
_space_group_IT_number 1
_cell_length_a 4.418
_cell_length_b 4.418
_cell_length_c 4.418
_cell_angle_alpha 60.00
_cell_angle_beta 60.00
_cell_angle_gamma 60.00
loop_
_space_group_symop_operation_xyz
'x,y,z'
loop_
_atom_site_label
_atom_site_type_symbol
_atom_site_fract_x
_atom_site_fract_y
_atom_site_fract_z
_atom_site_occupancy
Np1 Np 0.250 0.250 0.250 1
Fe1 Fe 0.500 0.500 0.500 1
Tc1 Tc 0.000 0.000 0.000 1
Si1 Si 0.750 0.750 0.750 1
```

***

Crystalline LaHf2Fe2 at its relaxed geometry. Source: the Alexandria database, functional GGA-PBE.

As for the density of states at the Fermi level: 0.96 states/eV/atom. The energy relative to the lowest polymorph listed for this composition comes out at 286.6 meV per atom. The formation energy comes out at 0.257 eV per atom.

Structure (CIF):
```
data_LaHf2Fe2
_chemical_formula_sum 'La1 Hf2 Fe2'
_space_group_name_H-M_alt 'P 1'
_space_group_IT_number 1
_cell_length_a 4.503
_cell_length_b 4.503
_cell_length_c 6.136
_cell_angle_alpha 68.47
_cell_angle_beta 68.47
_cell_angle_gamma 90.00
loop_
_space_group_symop_operation_xyz
'x,y,z'
loop_
_atom_site_label
_atom_site_type_symbol
_atom_site_fract_x
_atom_site_fract_y
_atom_site_fract_z
_atom_site_occupancy
Hf1 Hf 0.347 0.347 0.306 1
Hf2 Hf 0.653 0.653 0.694 1
Fe1 Fe 0.250 0.750 0.500 1
Fe2 Fe 0.750 0.250 0.500 1
La1 La 0.000 0.000 0.000 1
```

***

Crystalline NaLaU4N8 at its relaxed geometry. Source: the Alexandria database, functional GGA-PBE.

As for the density of states at the Fermi level: 0.84 states/eV/atom. The formation energy from raw total energies is -1.1647 eV/atom.

Structure (CIF):
```
data_NaLaU4N8
_chemical_formula_sum 'Na1 La1 U4 N8'
_space_group_name_H-M_alt 'P 1'
_space_group_IT_number 1
_cell_length_a 6.988
_cell_length_b 6.988
_cell_length_c 6.729
_cell_angle_alpha 58.72
_cell_angle_beta 58.72
_cell_angle_gamma 60.00
loop_
_space_group_symop_operation_xyz
'x,y,z'
loop_
_atom_site_label
_atom_site_type_symbol
_atom_site_fract_x
_atom_site_fract_y
_atom_site_fract_z
_atom_site_occupancy
N1 N 0.219 0.740 0.301 1
N2 N 0.812 0.248 0.692 1
N3 N 0.234 0.234 0.299 1
N4 N 0.740 0.740 0.301 1
N5 N 0.248 0.812 0.692 1
N6 N 0.740 0.219 0.301 1
N7 N 0.758 0.758 0.727 1
N8 N 0.248 0.248 0.692 1
U1 U 0.001 0.001 0.501 1
U2 U 0.497 0.001 0.501 1
U3 U 0.001 0.497 0.501 1
U4 U 0.615 0.615 0.154 1
Na1 Na 0.999 0.999 0.004 1
La1 La 0.388 0.388 0.836 1
```

***

Crystalline Tl2Rh2Pb at its relaxed geometry. Source: the Alexandria database, functional GGA-PBE.

As for the density of states at the Fermi level: 0.74 states/eV/atom. The energy relative to the lowest polymorph listed for this composition comes out at 0.0 meV per atom. The formation energy comes out at 0.094 eV per atom.

Structure (CIF):
```
data_Tl2Rh2Pb
_chemical_formula_sum 'Tl4 Rh4 Pb2'
_space_group_name_H-M_alt 'P 1'
_space_group_IT_number 1
_cell_length_a 7.983
_cell_length_b 7.983
_cell_length_c 3.252
_cell_angle_alpha 90.00
_cell_angle_beta 90.00
_cell_angle_gamma 90.00
loop_
_space_group_symop_operation_xyz
'x,y,z'
loop_
_atom_site_label
_atom_site_type_symbol
_atom_site_fract_x
_atom_site_fract_y
_atom_site_fract_z
_atom_site_occupancy
Rh1 Rh 0.641 0.141 0.000 1
Rh2 Rh 0.141 0.359 0.000 1
Rh3 Rh 0.359 0.859 0.000 1
Rh4 Rh 0.859 0.641 0.000 1
Tl1 Tl 0.845 0.345 0.500 1
Tl2 Tl 0.345 0.155 0.500 1
Tl3 Tl 0.655 0.845 0.500 1
Tl4 Tl 0.155 0.655 0.500 1
Pb1 Pb 0.500 0.500 0.000 1
Pb2 Pb 0.000 0.000 0.000 1
```

***

Crystalline Cs4La3GaS8 at its relaxed geometry. Source: the Alexandria database, functional GGA-PBE.

The formation energy from raw total energies is -1.5317 eV/atom.

Structure (CIF):
```
data_Cs4La3GaS8
_chemical_formula_sum 'Cs4 La3 Ga1 S8'
_space_group_name_H-M_alt 'P 1'
_space_group_IT_number 1
_cell_length_a 8.376
_cell_length_b 9.452
_cell_length_c 8.546
_cell_angle_alpha 116.84
_cell_angle_beta 119.35
_cell_angle_gamma 90.00
loop_
_space_group_symop_operation_xyz
'x,y,z'
loop_
_atom_site_label
_atom_site_type_symbol
_atom_site_fract_x
_atom_site_fract_y
_atom_site_fract_z
_atom_site_occupancy
S1 S 0.236 0.329 0.035 1
S2 S 0.201 0.671 0.965 1
S3 S 0.273 0.311 0.547 1
S4 S 0.799 0.329 0.035 1
S5 S 0.727 0.689 0.453 1
S6 S 0.764 0.671 0.965 1
S7 S 0.760 0.302 0.520 1
S8 S 0.240 0.698 0.480 1
Cs1 Cs 0.000 0.000 0.500 1
Cs2 Cs 0.000 0.000 0.000 1
Cs3 Cs 0.500 0.000 0.500 1
Cs4 Cs 0.500 0.000 0.000 1
La1 La 0.500 0.500 0.500 1
La2 La 0.000 0.500 0.500 1
La3 La 0.500 0.500 0.000 1
Ga1 Ga 0.000 0.500 0.000 1
```